DFT (PBE) results for a relaxed Li2HfZrIn2Ir2 crystal.

Summary:
raw total energy = -6.24 eV/atom
total moment = 0.378 μB/f.u.
crystal system = tetragonal
volume = 17.174 Å³ per atom

a b c (Å): 4.5964 4.5964 6.5031
angles (deg): 90.00 90.00 90.00
Site moments in Bohr magnetons follow the coordinates.
Positions (direct):
In  0.0000  0.0000  0.5000  0.01
Ir  0.5000  0.0000  0.7541  0.03
Li  0.0000  0.5000  0.7504  0.00
Ir  0.0000  0.5000  0.2459  0.03
In  0.5000  0.5000  0.0000  0.01
Li  0.5000  0.0000  0.2496  0.00
Zr  0.5000  0.5000  0.5000  0.08
Hf  0.0000  0.0000  0.0000  0.06

=====

DFT (PBE) results for a relaxed AcErPO crystal.

Summary:
total moment = 0.015 μB/f.u.
crystal system = tetragonal
volume = 23.186 Å³ per atom
ΔE to the lowest computed polymorph = 0.026 eV/atom

a b c (Å): 4.4773 4.4773 9.2531
angles (deg): 90.00 90.00 90.00
Positions (direct):
O  0.2500  0.7500  0.0000
P  0.2500  0.2500  0.6715
Ac  0.7500  0.7500  0.8772
Er  0.7500  0.2500  0.5000
Ac  0.2500  0.2500  0.1228
O  0.7500  0.2500  0.0000
P  0.7500  0.7500  0.3285
Er  0.2500  0.7500  0.5000

=====

DFT (PBE) results for a relaxed BeSnAu2 crystal.

Summary:
raw total energy = -3.28 eV/atom
crystal system = cubic
volume = 18.277 Å³ per atom

a b c (Å): 4.6934 4.6934 4.6934
angles (deg): 60.00 60.00 60.00
Positions (direct):
Sn  0.5000  0.5000  0.5000
Au  0.7500  0.7500  0.7500
Be  0.2500  0.2500  0.2500
Au  0.0000  0.0000  0.0000

=====

DFT (PBE) results for a relaxed BaTcO4 crystal.

Summary:
total moment = 1.001 μB/f.u.
crystal system = tetragonal
volume = 16.699 Å³ per atom
ΔE to the lowest computed polymorph = 0.000 eV/atom

a b c (Å): 7.4820 7.4820 7.4820
angles (deg): 135.86 135.86 64.20
Site moments in Bohr magnetons follow the coordinates.
Positions (direct):
Ba  0.7500  0.2500  0.5000  0.02
O  0.5667  0.7055  0.6230  0.06
O  0.6937  0.8167  0.3612  0.06
O  0.0825  0.9437  0.3770  0.06
O  0.2945  0.9175  0.8612  0.06
Ba  0.0000  0.0000  0.0000  0.02
Tc  0.5000  0.5000  0.0000  0.64
O  0.1833  0.5445  0.8770  0.06
Tc  0.2500  0.7500  0.5000  0.64
O  0.6675  0.3063  0.1230  0.06
O  0.0563  0.4333  0.1388  0.06
O  0.4555  0.3325  0.6388  0.06